First-principles (PBE-GGA) data for crystalline K2InSbI6 at its relaxed geometry, as listed in the Alexandria database.

Output
magnetic moment = 0.000 μB/atom
formation energy (no corrections) = -0.818 eV/atom
E = -26.54 eV for the cell shown

Cell lengths 8.926, 8.926, 8.926 Å; angles 57.59, 57.59, 57.59 degrees
Atoms (fractional coordinates):
K1 0.000 0.000 0.000
K2 0.492 0.492 0.492
In1 0.203 0.203 0.203
Sb1 0.699 0.699 0.699
I1 0.035 0.457 0.836
I2 0.357 0.921 0.569
I3 0.457 0.836 0.035
I4 0.569 0.357 0.921
I5 0.836 0.035 0.457
I6 0.921 0.569 0.357